# Li2PmTh | Alexandria | PBE | optimized geometry
# * energy above the most stable polymorph in this dataset: 0 kJ/mol of formula units
# * volume: 102.8 Å³/cell
# * DFT formation energy: 222 meV per atom
data_Li2PmTh
_space_group_name_H-M_alt 'P 4/m m m'
_space_group_IT_number 123
_space_group_name_Hall '-P 4 2'
_cell_length_a 3.687
_cell_length_b 3.687
_cell_length_c 7.562
_cell_angle_alpha 90.00
_cell_angle_beta 90.00
_cell_angle_gamma 90.00
loop_
_atom_site_label
_atom_site_type_symbol
_atom_site_fract_x
_atom_site_fract_y
_atom_site_fract_z
Li1 Li 0.000 0.000 0.250
Pm1 Pm 0.500 0.500 0.000
Th1 Th 0.500 0.500 0.500